[1]
A plane-wave DFT calculation with PBE+U was carried out for a geometry-optimized Cs2CaMoO4 structure.

Lattice parameters (Å, degrees): 6.1977 13.9362 23.2391 90.00 90.00 90.00
With the nearest neighbours (Å) after each atom.
Space group Fddd (No. 70, origin choice 2)
Asymmetric unit:
Cs (0.1250, 0.1250, 0.3117)  2 O 2.89
Ca (0.1250, 0.1250, 0.1250)  4 O 2.22
Mo (0.1250, 0.1250, 0.6250)  4 O 1.92
O (0.0927, 0.2815, 0.8568)  1 Mo 1.92

[2]
A plane-wave DFT calculation with PBE+U was carried out for a geometry-optimized Cs2Ca2MoO6 structure.

Lattice parameters (Å, degrees): 5.9349 10.0876 7.1687 90.00 106.02 90.00
With the nearest neighbours (Å) after each atom.
Space group C2/m (No. 12)
Asymmetric unit:
Cs (0.0000, 0.1689, 0.0000)  6 O 2.98-3.25
Ca (0.0000, 0.3356, 0.5000)  6 O 2.38-2.41
Mo (0.0000, 0.0000, 0.5000)  6 O 1.98
O (0.1919, 0.1423, 0.6566)  1 Mo 1.98
O (0.2252, 0.0000, 0.3410)  1 Mo 1.98

[3]
A plane-wave DFT calculation with PBE+U was carried out for a geometry-optimized Cs3Ca2MoO6 structure.

Lattice parameters (Å, degrees): 6.0950 10.5123 7.0180 90.00 106.66 90.00
With the nearest neighbours (Å) after each atom.
Space group C2/m (No. 12)
Asymmetric unit:
Cs (0.0000, 0.0000, 0.0000)  6 O 2.97-3.19
Cs (0.0000, 0.3329, 0.0000)  6 O 2.94-3.25
Ca (0.0000, 0.1652, 0.5000)  6 O 2.43-2.45
Mo (0.0000, 0.5000, 0.5000)  6 O 2.04-2.11
O (0.1961, 0.3572, 0.6604)  1 Mo 2.04
O (0.2362, 0.5000, 0.3320)  1 Mo 2.11

no.,raw total energy (eV for the cell shown),total magnetic moment (μB/cell)
1,-352.9,0.377
2,-132.0,0.000
3,-133.4,2.000